Entry 1:
Below is crystalline AlTcBr2 at its relaxed geometry, with properties calculated at the PBE level.

Results
Relative energy among the computed polymorphs   787 meV/atom
Formation energy (no corrections)   0.59 eV per atom
Space-group type   No. 10

Structure (extended XYZ):
```
4
Lattice="4.482 0.000 0.000 0.000 3.232 0.000 -0.201 0.000 5.816" Properties=species:S:1:pos:R:3 pbc="T T T"
Al 0.000 0.000 0.000
Tc -0.101 1.616 2.908
Br 2.140 0.000 2.908
Br 2.241 1.616 0.000
```

---

Entry 2:
Below is crystalline MnTc2Os at its relaxed geometry, with properties calculated at the PBE level.

Results
Relative energy among the computed polymorphs   46 meV/atom
Formation energy   40 kJ/mol of formula units
Space-group type   No. 160

Structure (extended XYZ):
```
4
Lattice="1.353 0.781 8.755 -1.353 0.781 8.755 0.000 -1.562 8.755" Properties=species:S:1:pos:R:3 pbc="T T T"
Mn 0.000 0.000 0.000
Tc 0.000 0.000 13.126
Tc 0.000 0.000 19.661
Os 0.000 0.000 6.692
```

---

Entry 3:
Below is crystalline Tl2Te2S5 at its relaxed geometry, with properties calculated at the PBE level.

Results
Relative energy among the computed polymorphs   0 meV/atom
Formation energy (no corrections)   -0.06 eV per atom
Space-group type   No. 2

Structure (extended XYZ):
```
9
Lattice="5.599 0.000 0.000 -0.066 6.209 0.000 -0.414 -0.603 8.260" Properties=species:S:1:pos:R:3 pbc="T T T"
Tl -0.036 1.359 2.891
Tl 5.155 4.247 5.369
Te 2.237 1.704 6.548
Te 2.882 3.902 1.712
S -0.040 1.253 6.260
S 2.719 1.621 0.899
S 2.559 2.803 4.130
S 2.399 3.985 7.362
S 5.159 4.353 2.000
```

---

Entry 4:
Below is crystalline ScTi2O4 at its relaxed geometry, with properties calculated at the PBE level.

Results
Formation energy (no corrections)   -2.93 eV per atom
Space-group type   No. 63

Structure (extended XYZ):
```
14
Lattice="1.459 -4.860 0.000 1.459 4.860 0.000 0.000 0.000 10.206" Properties=species:S:1:pos:R:3 pbc="T T T"
Sc 1.459 3.730 7.655
Sc 1.459 -3.730 2.552
Ti 1.459 1.335 5.766
Ti 1.459 1.335 9.543
Ti 1.459 -1.335 0.663
Ti 1.459 -1.335 4.440
O 0.000 0.000 0.000
O 0.000 0.000 5.103
O 1.459 2.124 1.261
O 1.459 2.124 3.842
O 1.459 0.392 7.655
O 1.459 -0.392 2.552
O 1.459 -2.124 6.364
O 1.459 -2.124 8.945
```

---

Entry 5:
Below is crystalline BaYBr2 at its relaxed geometry, with properties calculated at the PBE level.

Results
Relative energy among the computed polymorphs   814 meV/atom
Formation energy (no corrections)   -0.40 eV per atom
Space-group type   No. 216

Structure (extended XYZ):
```
4
Lattice="0.000 4.145 4.145 4.145 0.000 4.145 4.145 4.145 0.000" Properties=species:S:1:pos:R:3 pbc="T T T"
Ba 0.000 0.000 0.000
Y 6.218 6.218 6.218
Br 2.073 2.073 2.073
Br 4.145 4.145 4.145
```

---

Entry 6:
Below is crystalline LiCd2Ag at its relaxed geometry, with properties calculated at the PBE level.

Results
Relative energy among the computed polymorphs   42 meV/atom
Formation energy   -61 kJ/mol of formula units
Space-group type   No. 6

Structure (extended XYZ):
```
4
Lattice="2.948 0.000 0.000 0.000 4.585 0.000 -1.413 0.000 5.591" Properties=species:S:1:pos:R:3 pbc="T T T"
Li 0.000 0.000 0.000
Cd -0.090 2.293 4.351
Cd 1.279 0.000 2.672
Ag -0.265 2.293 1.375
```

---

Entry 7:
Below is crystalline Tb2TlSb at its relaxed geometry, with properties calculated at the PBE level.

Results
Relative energy among the computed polymorphs   118 meV/atom
Formation energy (no corrections)   -0.61 eV per atom
Space-group type   No. 62

Structure (extended XYZ):
```
16
Lattice="8.281 0.000 0.000 0.000 4.097 0.000 0.000 0.000 14.329" Properties=species:S:1:pos:R:3 pbc="T T T"
Tb 1.553 1.024 0.125
Tb 1.567 3.073 10.930
Tb 2.574 1.024 3.766
Tb 2.587 3.073 7.290
Tb 5.694 1.024 7.039
Tb 5.707 3.073 10.563
Tb 6.715 1.024 3.399
Tb 6.728 3.073 14.204
Tl 0.372 1.024 5.966
Tl 3.768 3.073 13.130
Tl 4.513 1.024 1.199
Tl 7.909 3.073 8.363
Sb 0.549 3.073 2.279
Sb 3.591 1.024 9.444
Sb 4.690 3.073 4.885
Sb 7.732 1.024 12.049
```

---

Entry 8:
Below is crystalline U2CuGe2O18 at its relaxed geometry, with properties calculated at the PBE level.

Results
Relative energy among the computed polymorphs   0 meV/atom
Formation energy (no corrections)   -1.07 eV per atom
Space-group type   No. 12

Structure (extended XYZ):
```
23
Lattice="7.442 -3.584 0.000 7.442 3.584 0.000 -2.970 0.000 6.488" Properties=species:S:1:pos:R:3 pbc="T T T"
U 3.303 0.000 0.852
U 8.612 0.000 5.635
Cu 5.957 0.000 3.244
Ge 1.189 0.000 4.124
Ge 10.726 0.000 2.364
O 1.122 1.308 5.283
O -0.434 0.000 2.931
O 1.717 0.000 0.004
O 5.957 2.362 3.244
O 2.288 0.000 2.787
O 5.052 0.000 1.603
O 7.442 0.619 0.000
O 4.343 0.000 4.042
O 1.122 -1.308 5.283
O 10.793 1.308 1.204
O 7.572 0.000 2.446
O 7.442 -0.619 0.000
O 6.863 0.000 4.884
O 9.627 0.000 3.701
O 5.957 -2.362 3.244
O 10.198 0.000 6.484
O 12.349 0.000 3.557
O 10.793 -1.308 1.204
```

---

Entry 9:
Below is crystalline BaAl3 at its relaxed geometry, with properties calculated at the PBE level.

Results
Formation energy   8 kJ/mol of formula units
Space-group type   No. 10

Structure (extended XYZ):
```
4
Lattice="3.360 0.000 0.000 0.000 4.439 0.000 -1.508 0.000 6.943" Properties=species:S:1:pos:R:3 pbc="T T T"
Ba 0.000 0.000 0.000
Al 0.042 2.219 4.654
Al 0.926 0.000 3.471
Al 1.810 2.219 2.289
```

---

Entry 10:
Below is crystalline Ce2PrLu at its relaxed geometry, with properties calculated at the PBE level.

Results
Relative energy among the computed polymorphs   13 meV/atom
Formation energy   46 kJ/mol of formula units
Space-group type   No. 123

Structure (extended XYZ):
```
4
Lattice="3.490 0.000 0.000 0.000 3.490 0.000 0.000 0.000 10.175" Properties=species:S:1:pos:R:3 pbc="T T T"
Ce 0.000 0.000 2.465
Ce 0.000 0.000 7.710
Pr 1.745 1.745 5.087
Lu 1.745 1.745 0.000
```

---

Entry 11:
Below is crystalline ErPuBi at its relaxed geometry, with properties calculated at the PBE level.

Results
Formation energy   -37 kJ/mol of formula units
Space-group type   No. 156

Structure (extended XYZ):
```
3
Lattice="5.299 0.000 0.000 -2.650 4.589 0.000 0.000 0.000 3.664" Properties=species:S:1:pos:R:3 pbc="T T T"
Er 0.000 0.000 0.000
Pu 2.650 1.530 2.023
Bi 0.000 3.060 0.730
```

---

Entry 12:
Below is crystalline Ac2PmIn4Ag3 at its relaxed geometry, with properties calculated at the PBE level.

Results
Formation energy   -306 kJ/mol of formula units
Space-group type   No. 115

Structure (extended XYZ):
```
10
Lattice="4.658 0.000 0.000 0.000 4.658 0.000 0.000 0.000 12.955" Properties=species:S:1:pos:R:3 pbc="T T T"
Ac 0.000 2.329 2.971
Ac 2.329 0.000 9.983
Pm 0.000 0.000 6.477
In 0.000 0.000 0.000
In 0.000 2.329 8.541
In 2.329 0.000 4.414
In 2.329 2.329 0.000
Ag 0.000 2.329 11.280
Ag 2.329 0.000 1.674
Ag 2.329 2.329 6.477
```